Model P:
! KFe2Tc (PBE, relaxed); values from VASP
! crystal system: orthorhombic
&SYSTEM
  ibrav = 0, nat = 4, ntyp = 3
/
ATOMIC_SPECIES
Fe 55.84 Fe.upf
Tc 98.00 Tc.upf
K 39.10 K.upf
CELL_PARAMETERS angstrom
2.691 0.093 0.000
-0.974 2.511 0.000
0.000 0.000 9.836
ATOMIC_POSITIONS crystal
Fe 0.000 0.000 0.952
Fe 0.000 0.000 0.548
Tc 0.500 0.500 0.750
K 0.500 0.500 0.250


Model Q:
! KFe2Tc (PBE, relaxed); values from VASP
! crystal system: orthorhombic
&SYSTEM
  ibrav = 0, nat = 4, ntyp = 3
/
ATOMIC_SPECIES
K 39.10 K.upf
Tc 98.00 Tc.upf
Fe 55.84 Fe.upf
CELL_PARAMETERS angstrom
2.583 0.000 0.000
0.000 5.223 0.000
0.000 0.000 5.011
ATOMIC_POSITIONS crystal
K 0.500 0.000 0.500
Tc 0.000 0.500 0.500
Fe 0.000 0.000 0.000
Fe 0.500 0.500 0.000


Model R:
! KFe2Tc (PBE, relaxed); values from VASP
! crystal system: orthorhombic
&SYSTEM
  ibrav = 0, nat = 4, ntyp = 3
/
ATOMIC_SPECIES
Fe 55.84 Fe.upf
K 39.10 K.upf
Tc 98.00 Tc.upf
CELL_PARAMETERS angstrom
-2.137 0.695 -1.486
1.935 -0.436 -2.988
-2.229 -7.571 -0.338
ATOMIC_POSITIONS crystal
Fe 0.500 0.500 0.152
Fe 0.000 0.000 0.999
K 0.000 0.000 0.495
Tc 0.500 0.500 0.854


Model S:
! KFe2Tc (PBE, relaxed); values from VASP
! crystal system: monoclinic
&SYSTEM
  ibrav = 0, nat = 4, ntyp = 3
/
ATOMIC_SPECIES
Tc 98.00 Tc.upf
K 39.10 K.upf
Fe 55.84 Fe.upf
CELL_PARAMETERS angstrom
4.332 -0.067 -0.069
3.510 2.540 -0.069
0.623 0.197 7.224
ATOMIC_POSITIONS crystal
Tc 0.271 0.271 0.135
K 0.499 0.499 0.505
Fe 0.004 0.004 0.002
Fe 0.726 0.726 0.859


Preferred: model R; penalty for the next structure: 67 meV/atom.


Model P:
! K2FeTc (PBE, relaxed); values from VASP
! crystal system: tetragonal
&SYSTEM
  ibrav = 0, nat = 8, ntyp = 3
/
ATOMIC_SPECIES
Fe 55.84 Fe.upf
K 39.10 K.upf
Tc 98.00 Tc.upf
CELL_PARAMETERS angstrom
12.561 0.000 0.000
0.000 12.561 0.000
6.280 6.280 2.221
ATOMIC_POSITIONS crystal
Fe 0.250 0.750 0.500
Fe 0.500 0.500 0.000
K 0.313 0.625 0.250
K 0.437 0.125 0.250
K 0.375 0.563 0.750
K 0.875 0.687 0.750
Tc 0.000 0.000 0.000
Tc 0.750 0.250 0.500


Model Q:
! K2FeTc (PBE, relaxed); values from VASP
! crystal system: monoclinic
&SYSTEM
  ibrav = 0, nat = 4, ntyp = 3
/
ATOMIC_SPECIES
Tc 98.00 Tc.upf
K 39.10 K.upf
Fe 55.84 Fe.upf
CELL_PARAMETERS angstrom
5.268 -0.082 -0.359
-2.416 6.057 0.200
0.436 0.599 2.637
ATOMIC_POSITIONS crystal
Tc 0.000 0.500 0.500
K 0.000 0.000 0.000
K 0.500 0.000 0.500
Fe 0.500 0.500 0.000


Model R:
! K2FeTc (PBE, relaxed); values from VASP
! crystal system: cubic
&SYSTEM
  ibrav = 0, nat = 4, ntyp = 3
/
ATOMIC_SPECIES
Tc 98.00 Tc.upf
K 39.10 K.upf
Fe 55.84 Fe.upf
CELL_PARAMETERS angstrom
-0.099 -1.827 5.316
0.445 3.664 4.241
-4.451 1.079 3.261
ATOMIC_POSITIONS crystal
Tc 0.500 0.500 0.500
K 0.250 0.250 0.250
K 0.750 0.750 0.750
Fe 0.000 0.000 0.000


Preferred: model P; penalty for the next structure: 84 meV/atom.


Model P:
! KFeTc2 (PBE, relaxed); values from VASP
! crystal system: tetragonal
&SYSTEM
  ibrav = 0, nat = 4, ntyp = 3
/
ATOMIC_SPECIES
Tc 98.00 Tc.upf
Fe 55.84 Fe.upf
K 39.10 K.upf
CELL_PARAMETERS angstrom
2.667 0.000 0.000
0.000 2.667 0.000
0.000 0.000 9.661
ATOMIC_POSITIONS crystal
Tc 0.000 0.000 0.061
Tc 0.000 0.000 0.439
Fe 0.500 0.500 0.250
K 0.500 0.500 0.750


Model Q:
! KFeTc2 (PBE, relaxed); values from VASP
! crystal system: tetragonal
&SYSTEM
  ibrav = 0, nat = 4, ntyp = 3
/
ATOMIC_SPECIES
K 39.10 K.upf
Tc 98.00 Tc.upf
Fe 55.84 Fe.upf
CELL_PARAMETERS angstrom
4.943 0.000 0.000
0.000 3.749 0.000
0.000 0.000 3.749
ATOMIC_POSITIONS crystal
K 0.500 0.000 0.500
Tc 0.000 0.000 0.000
Tc 0.000 0.500 0.500
Fe 0.500 0.500 0.000


Preferred: model P; penalty for the next structure: 770 meV/atom.


Model P:
! KFeTc2 (PBE, relaxed); values from VASP
! crystal system: monoclinic
&SYSTEM
  ibrav = 0, nat = 4, ntyp = 3
/
ATOMIC_SPECIES
K 39.10 K.upf
Fe 55.84 Fe.upf
Tc 98.00 Tc.upf
CELL_PARAMETERS angstrom
3.464 0.000 0.000
0.000 2.643 0.001
0.000 2.544 8.411
ATOMIC_POSITIONS crystal
K 0.500 0.750 0.750
Fe 0.500 0.250 0.250
Tc 0.000 0.896 0.098
Tc 0.000 0.604 0.402


Model Q:
! KFeTc2 (PBE, relaxed); values from VASP
! crystal system: orthorhombic
&SYSTEM
  ibrav = 0, nat = 4, ntyp = 3
/
ATOMIC_SPECIES
Fe 55.84 Fe.upf
Tc 98.00 Tc.upf
K 39.10 K.upf
CELL_PARAMETERS angstrom
-1.375 -0.780 -2.140
-2.263 -1.135 0.817
-4.600 8.948 -0.308
ATOMIC_POSITIONS crystal
Fe 0.500 0.500 0.250
Tc 0.000 0.000 0.049
Tc 0.000 0.000 0.451
K 0.500 0.500 0.750


Preferred: model Q; penalty for the next structure: 29 meV/atom.


Model P:
! KFeTc2 (PBE, relaxed); values from VASP
! crystal system: orthorhombic
&SYSTEM
  ibrav = 0, nat = 4, ntyp = 3
/
ATOMIC_SPECIES
Tc 98.00 Tc.upf
Fe 55.84 Fe.upf
K 39.10 K.upf
CELL_PARAMETERS angstrom
-2.332 4.718 2.228
-2.769 -3.557 -3.513
-0.801 -1.330 1.978
ATOMIC_POSITIONS crystal
Tc 0.000 0.000 0.000
Tc 0.500 0.500 0.000
Fe 0.500 0.000 0.500
K 0.000 0.500 0.500


Model Q:
! KFeTc2 (PBE, relaxed); values from VASP
! crystal system: cubic
&SYSTEM
  ibrav = 0, nat = 4, ntyp = 3
/
ATOMIC_SPECIES
K 39.10 K.upf
Fe 55.84 Fe.upf
Tc 98.00 Tc.upf
CELL_PARAMETERS angstrom
-1.426 -1.299 4.108
-3.041 -3.346 0.393
1.260 -4.027 1.671
ATOMIC_POSITIONS crystal
K 0.750 0.750 0.750
Fe 0.500 0.500 0.500
Tc 0.000 0.000 0.000
Tc 0.250 0.250 0.250


Model R:
! KFeTc2 (PBE, relaxed); values from VASP
! crystal system: tetragonal
&SYSTEM
  ibrav = 0, nat = 4, ntyp = 3
/
ATOMIC_SPECIES
K 39.10 K.upf
Tc 98.00 Tc.upf
Fe 55.84 Fe.upf
CELL_PARAMETERS angstrom
5.530 0.073 0.000
2.893 4.714 0.000
-4.212 -2.393 2.669
ATOMIC_POSITIONS crystal
K 0.750 0.250 0.500
Tc 0.500 0.500 0.000
Tc 0.000 0.000 0.000
Fe 0.250 0.750 0.500


Preferred: model P; penalty for the next structure: 109 meV/atom.


Model P:
! KFeTc2 (PBE, relaxed); values from VASP
! crystal system: orthorhombic
&SYSTEM
  ibrav = 0, nat = 4, ntyp = 3
/
ATOMIC_SPECIES
Fe 55.84 Fe.upf
K 39.10 K.upf
Tc 98.00 Tc.upf
CELL_PARAMETERS angstrom
5.733 0.005 -0.014
2.362 5.224 0.014
-3.129 -4.037 2.605
ATOMIC_POSITIONS crystal
Fe 0.544 0.544 0.000
K 0.248 0.748 0.500
Tc 0.758 0.258 0.500
Tc 0.950 0.950 0.000


Model Q:
! KFeTc2 (PBE, relaxed); values from VASP
! crystal system: orthorhombic
&SYSTEM
  ibrav = 0, nat = 4, ntyp = 3
/
ATOMIC_SPECIES
Tc 98.00 Tc.upf
Fe 55.84 Fe.upf
K 39.10 K.upf
CELL_PARAMETERS angstrom
2.677 0.000 0.000
0.000 4.867 0.000
0.000 0.000 5.229
ATOMIC_POSITIONS crystal
Tc 0.000 0.000 0.000
Tc 0.500 0.500 0.000
Fe 0.500 0.000 0.500
K 0.000 0.500 0.500


Preferred: model P; penalty for the next structure: 122 meV/atom.